# 1
Here is an optimized crystal structure of TlHgOs2 from Alexandria. Energies are from PBE.

## Properties
E = -20.5 eV/f.u.
formation enthalpy at 0 K = 1.159 eV per atom

a = 2.9633 Å, b = 5.0950 Å, c = 9.5575 Å
α = 90.00°, β = 90.00°, γ = 90.00°
Last column: nearest neighbours and their distance in Å.
Space group Cmmm (No. 65)
One atom of each set of equivalent atoms:
Tl 0.0000 0.0000 0.0000  4 Os 2.80, 6 Tl 2.95-2.96
Hg 0.0000 0.0000 0.5000  4 Os 2.82, 6 Hg 2.95-2.96
Os 0.0000 0.5000 0.2486  2 Tl 2.80, 2 Hg 2.82, 6 Os 2.95-2.96

# 2
Here is an optimized crystal structure of TlHgOs2 from Alexandria. Energies are from PBE.

## Properties
E = -20.8 eV/f.u.
formation enthalpy at 0 K = 1.086 eV per atom

a = 2.9561 Å, b = 4.7448 Å, c = 5.3432 Å
α = 90.00°, β = 91.31°, γ = 90.00°
Last column: nearest neighbours and their distance in Å.
Space group P2/m (No. 10)
One atom of each set of equivalent atoms:
Tl 0.0000 0.0000 0.0000  4 Os 2.90, 2 Tl 2.96, 4 Hg 3.02-3.08
Hg 0.5000 0.0000 0.5000  4 Os 2.75, 2 Hg 2.96, 2 Tl 3.02
Os 0.2088 0.5000 0.2925  2 Os 2.56-2.78, 2 Hg 2.75

Q: Look up the formation enthalpy at 0 K of the first one.
A: 1.159 eV per atom

Copy entry 2 word for word.
Here is an optimized crystal structure of TlHgOs2 from Alexandria. Energies are from PBE.

## Properties
E = -20.8 eV/f.u.
formation enthalpy at 0 K = 1.086 eV per atom

a = 2.9561 Å, b = 4.7448 Å, c = 5.3432 Å
α = 90.00°, β = 91.31°, γ = 90.00°
Last column: nearest neighbours and their distance in Å.
Space group P2/m (No. 10)
One atom of each set of equivalent atoms:
Tl 0.0000 0.0000 0.0000  4 Os 2.90, 2 Tl 2.96, 4 Hg 3.02-3.08
Hg 0.5000 0.0000 0.5000  4 Os 2.75, 2 Hg 2.96, 2 Tl 3.02
Os 0.2088 0.5000 0.2925  2 Os 2.56-2.78, 2 Hg 2.75

Repeat the second record exactly.
Here is an optimized crystal structure of TlHgOs2 from Alexandria. Energies are from PBE.

## Properties
E = -20.8 eV/f.u.
formation enthalpy at 0 K = 1.086 eV per atom

a = 2.9561 Å, b = 4.7448 Å, c = 5.3432 Å
α = 90.00°, β = 91.31°, γ = 90.00°
Last column: nearest neighbours and their distance in Å.
Space group P2/m (No. 10)
One atom of each set of equivalent atoms:
Tl 0.0000 0.0000 0.0000  4 Os 2.90, 2 Tl 2.96, 4 Hg 3.02-3.08
Hg 0.5000 0.0000 0.5000  4 Os 2.75, 2 Hg 2.96, 2 Tl 3.02
Os 0.2088 0.5000 0.2925  2 Os 2.56-2.78, 2 Hg 2.75